A relaxed structure of UTl3Br2F6, computed with PBE.

a = 9.333 Å, b = 9.333 Å, c = 5.011 Å
α = 92.61°, β = 92.61°, γ = 51.94°
Atoms (fractional coordinates):
U: 0.000 0.000 0.000
Tl: 0.000 0.500 0.000
Tl: 0.500 0.000 0.000
Tl: 0.500 0.500 0.500
Br: 0.306 0.306 0.498
Br: 0.694 0.694 0.502
F: 0.114 0.114 0.846
F: 0.146 0.772 0.745
F: 0.228 0.854 0.255
F: 0.772 0.146 0.745
F: 0.854 0.228 0.255
F: 0.886 0.886 0.154

Results
Raw formation energy: -28.52 eV/f.u.
Space group: No. 12